Entry from Alexandria: an optimized crystal structure of CsBaPbO3 (GGA-PBE).

Volume = 175.3 Å³/f.u.
Total DFT energy (no corrections) = -5.1071 eV/atom
Crystal system = orthorhombic

abc: 4.180 14.117 11.879
angles: 90.00 90.00 90.00
Space group Cmcm (No. 63)
Asymmetric unit:
Cs 0.000 0.217 0.250 [4 per cell]
Ba 0.000 0.000 0.000 [4 per cell]
Pb 0.000 0.489 0.250 [4 per cell]
O 0.000 0.072 0.750 [4 per cell]
O 0.000 0.416 0.608 [8 per cell]

---

Entry from Alexandria: an optimized crystal structure of Cs2BaPbO4 (GGA-PBE).

Volume = 172.2 Å³/f.u.
Total DFT energy (no corrections) = -4.7744 eV/atom
Crystal system = orthorhombic

abc: 7.608 8.060 11.230
angles: 90.00 90.00 90.00
Space group Imma (No. 74)
Asymmetric unit:
Cs 0.000 0.000 0.000 [4 per cell]
Cs 0.250 0.250 0.250 [4 per cell]
Ba 0.000 0.000 0.500 [4 per cell]
Pb 0.250 0.250 0.750 [4 per cell]
O 0.000 0.055 0.742 [8 per cell]
O 0.227 0.250 0.556 [8 per cell]

---

Entry from Alexandria: an optimized crystal structure of CsBaPtO2 (GGA-PBE).

Volume = 143.1 Å³/f.u.
Total DFT energy (no corrections) = -5.1221 eV/atom
Crystal system = monoclinic

abc: 6.421 5.619 7.933
angles: 90.00 90.12 90.00
Space group P2/c (No. 13)
Asymmetric unit:
Cs 0.000 0.001 0.250 [2 per cell]
Ba 0.500 0.500 0.250 [2 per cell]
Pt 0.500 0.000 0.000 [2 per cell]
O 0.305 0.270 0.000 [4 per cell]